Co2TcP: relaxed, GGA-PBE.

Results
As for the total moment: 2.53 μB/f.u. Its total energy is -7.59 eV per atom. The value obtained for the formation energy from the elements is -89 meV/atom.

a = 2.8375 Å, b = 2.8375 Å, c = 5.8713 Å
α = 90.00°, β = 90.00°, γ = 90.00°
Space group P4mm (No. 99)
One atom of each set of equivalent atoms:
Co (0.0000, 0.0000, 0.0000) (multiplicity 1)
Co (0.5000, 0.5000, 0.2623) (multiplicity 1)
Tc (0.5000, 0.5000, 0.7242) (multiplicity 1)
P (0.0000, 0.0000, 0.4690) (multiplicity 1)

***

KAc2HoSe4: relaxed, GGA-PBE.

Results
The calculation puts the energy relative to the elements, uncorrected at -1335 kJ/mol of formula units. As for the total moment: 0.00 μB/f.u. Its total energy is -5.21 eV per atom.

a = 7.5464 Å, b = 4.3529 Å, c = 7.6877 Å
α = 90.00°, β = 108.91°, γ = 90.00°
Space group P2/m (No. 10)
One atom of each set of equivalent atoms:
K (0.0000, 0.0000, 0.0000) (multiplicity 1)
Ac (0.5000, 0.0000, 0.5000) (multiplicity 1)
Ac (0.5000, 0.5000, 0.0000) (multiplicity 1)
Ho (0.0000, 0.5000, 0.5000) (multiplicity 1)
Se (0.2293, 0.0000, 0.7299) (multiplicity 2)
Se (0.2430, 0.5000, 0.2649) (multiplicity 2)

***

CsSiTeHSe: relaxed, GGA-PBE.

Results
As for the total moment: 0.00 μB/f.u. Its total energy is -3.53 eV per atom.

a = 3.9056 Å, b = 5.9316 Å, c = 7.2355 Å
α = 110.89°, β = 105.20°, γ = 92.51°
Space group P1 (No. 1)
One atom of each set of equivalent atoms:
Cs (0.0000, 0.0000, 0.0000) (multiplicity 1)
Si (0.7647, 0.2732, 0.4984) (multiplicity 1)
Te (0.8074, 0.6891, 0.4145) (multiplicity 1)
H (0.3543, 0.6315, 0.3034) (multiplicity 1)
Se (0.3815, 0.3844, 0.7400) (multiplicity 1)

***

CsCaPb2: relaxed, GGA-PBE.

Results
As for the total moment: 0.00 μB/f.u. Its total energy is -2.71 eV per atom. The value obtained for the formation energy from the elements is -142 meV/atom.

a = 3.8098 Å, b = 3.8098 Å, c = 35.4176 Å
α = 90.00°, β = 90.00°, γ = 120.00°
Space group R-3m (No. 166, hexagonal axes)
One atom of each set of equivalent atoms:
Cs (0.0000, 0.0000, 0.0000) (multiplicity 3)
Ca (0.0000, 0.0000, 0.5000) (multiplicity 3)
Pb (0.0000, 0.0000, 0.2413) (multiplicity 6)